[1]
AcYPbO2 (PBE, relaxed); formation energy from raw total energies = -2463 meV per atom; symmetry = I4mm
1.0
-1.7412 0.5971 -3.5616
-1.8585 -3.5384 0.3154
-3.9120 4.7689 4.9684
Pb O Y Ac
1 2 1 1
Cartesian
-5.6252 3.2482 3.2945
-3.8724 -0.0697 1.8815
-3.8138 1.9980 -0.0570
-5.5504 0.6950 0.5735
-1.8735 1.0818 1.0972

***

[2]
DyHo2Ru3 (PBE, relaxed); symmetry = Cmmm; ΔH_f (0 K) = -2.052 eV per formula unit
1.0
-1.9804 2.6016 -0.9305
-3.1715 -3.0718 -1.8384
-1.7892 1.2313 7.2505
Ru Ho Dy
3 2 1
Cartesian
-2.5760 -0.2351 -1.3844
-4.8233 -0.4380 2.8315
-2.1178 1.1990 1.6500
-2.7124 -1.6376 1.1943
-2.2483 -0.2029 4.2178
0.0000 0.0000 0.0000